Entry from Alexandria: a geometry-optimized InPb2Cl structure (PBE-GGA).

## Properties
ΔE to the lowest computed polymorph   125 meV per atom
Formation energy (no corrections)   -186 meV per atom
Crystal system   orthorhombic

Cell and atoms, written as CIF:
```
data_InPb2Cl
_chemical_formula_sum 'In1 Pb2 Cl1'
_cell_length_a 3.437
_cell_length_b 4.778
_cell_length_c 6.953
_cell_angle_alpha 90.00
_cell_angle_beta 90.00
_cell_angle_gamma 90.00
_symmetry_space_group_name_H-M 'P 1'
_symmetry_Int_Tables_number 1
loop_
_symmetry_equiv_pos_as_xyz
'x,y,z'
loop_
_atom_site_label
_atom_site_type_symbol
_atom_site_fract_x
_atom_site_fract_y
_atom_site_fract_z
Pb1 Pb 0.000 0.000 0.007
Pb2 Pb 0.000 0.000 0.493
Cl1 Cl 0.500 0.500 0.250
In1 In 0.500 0.500 0.750
```



Entry from Alexandria: a geometry-optimized La12Ni3Hg5 structure (PBE-GGA).

## Properties
Crystal system   cubic
Energy of formation   0.08 eV per atom

Cell and atoms, written as CIF:
```
data_La12Ni3Hg5
_chemical_formula_sum 'La48 Ni12 Hg20'
_cell_length_a 15.366
_cell_length_b 15.366
_cell_length_c 15.366
_cell_angle_alpha 109.47
_cell_angle_beta 109.47
_cell_angle_gamma 109.47
_symmetry_space_group_name_H-M 'P 1'
_symmetry_Int_Tables_number 1
loop_
_symmetry_equiv_pos_as_xyz
'x,y,z'
loop_
_atom_site_label
_atom_site_type_symbol
_atom_site_fract_x
_atom_site_fract_y
_atom_site_fract_z
Ni1 Ni 0.750 0.375 0.125
Ni2 Ni 0.875 0.750 0.125
Ni3 Ni 0.375 0.750 0.625
Ni4 Ni 0.250 0.125 0.375
Ni5 Ni 0.875 0.125 0.250
Ni6 Ni 0.375 0.625 0.250
Ni7 Ni 0.625 0.375 0.750
Ni8 Ni 0.125 0.875 0.750
Ni9 Ni 0.750 0.875 0.625
Ni10 Ni 0.625 0.250 0.375
Ni11 Ni 0.125 0.250 0.875
Ni12 Ni 0.250 0.625 0.875
Hg1 Hg 0.125 0.375 0.250
Hg2 Hg 0.000 0.500 0.000
Hg3 Hg 0.000 0.000 0.000
Hg4 Hg 0.375 0.250 0.125
Hg5 Hg 0.500 0.000 0.500
Hg6 Hg 0.500 0.500 0.000
Hg7 Hg 0.125 0.750 0.375
Hg8 Hg 0.750 0.125 0.875
Hg9 Hg 0.750 0.625 0.375
Hg10 Hg 0.375 0.125 0.750
Hg11 Hg 0.625 0.875 0.250
Hg12 Hg 0.500 0.500 0.500
Hg13 Hg 0.500 0.000 0.000
Hg14 Hg 0.000 0.000 0.500
Hg15 Hg 0.250 0.375 0.625
Hg16 Hg 0.250 0.875 0.125
Hg17 Hg 0.000 0.500 0.500
Hg18 Hg 0.875 0.250 0.625
Hg19 Hg 0.625 0.750 0.875
Hg20 Hg 0.875 0.625 0.750
La1 La 0.744 0.133 0.075
La2 La 0.332 0.575 0.442
La3 La 0.925 0.367 0.256
La4 La 0.575 0.244 0.133
La5 La 0.610 0.744 0.668
La6 La 0.925 0.558 0.168
La7 La 0.332 0.756 0.390
La8 La 0.058 0.890 0.133
La9 La 0.558 0.925 0.668
La10 La 0.744 0.610 0.168
La11 La 0.756 0.425 0.367
La12 La 0.832 0.942 0.075
La13 La 0.133 0.744 0.575
La14 La 0.367 0.442 0.110
La15 La 0.110 0.942 0.367
La16 La 0.390 0.133 0.558
La17 La 0.110 0.168 0.244
La18 La 0.425 0.668 0.058
La19 La 0.832 0.890 0.256
La20 La 0.133 0.390 0.058
La21 La 0.367 0.925 0.756
La22 La 0.558 0.633 0.390
La23 La 0.942 0.832 0.575
La24 La 0.756 0.332 0.890
La25 La 0.442 0.367 0.610
La26 La 0.058 0.168 0.425
La27 La 0.244 0.668 0.110
La28 La 0.168 0.110 0.744
La29 La 0.633 0.075 0.244
La30 La 0.867 0.610 0.942
La31 La 0.575 0.332 0.942
La32 La 0.610 0.867 0.442
La33 La 0.890 0.832 0.756
La34 La 0.890 0.058 0.633
La35 La 0.867 0.256 0.425
La36 La 0.168 0.058 0.925
La37 La 0.633 0.558 0.890
La38 La 0.442 0.075 0.332
La39 La 0.256 0.390 0.832
La40 La 0.244 0.575 0.633
La41 La 0.942 0.110 0.867
La42 La 0.668 0.244 0.610
La43 La 0.425 0.756 0.867
La44 La 0.075 0.442 0.832
La45 La 0.390 0.256 0.332
La46 La 0.075 0.633 0.744
La47 La 0.668 0.425 0.558
La48 La 0.256 0.867 0.925
```



Entry from Alexandria: a geometry-optimized GeRhF3 structure (PBE-GGA).

## Properties
ΔE to the lowest computed polymorph   89 meV per atom
Formation energy (no corrections)   -786 meV per atom
Crystal system   cubic

Cell and atoms, written as CIF:
```
data_GeRhF3
_chemical_formula_sum 'Ge1 Rh1 F3'
_cell_length_a 4.235
_cell_length_b 4.235
_cell_length_c 4.235
_cell_angle_alpha 90.00
_cell_angle_beta 90.00
_cell_angle_gamma 90.00
_symmetry_space_group_name_H-M 'P 1'
_symmetry_Int_Tables_number 1
loop_
_symmetry_equiv_pos_as_xyz
'x,y,z'
loop_
_atom_site_label
_atom_site_type_symbol
_atom_site_fract_x
_atom_site_fract_y
_atom_site_fract_z
Ge1 Ge 0.500 0.500 0.500
Rh1 Rh 0.000 0.000 0.000
F1 F 0.000 0.500 0.000
F2 F 0.000 0.000 0.500
F3 F 0.500 0.000 0.000
```



Entry from Alexandria: a geometry-optimized Sc2ReB structure (PBE-GGA).

## Properties
Crystal system   orthorhombic
Energy of formation   0.00 eV per atom

Cell and atoms, written as CIF:
```
data_Sc2ReB
_chemical_formula_sum 'Sc4 Re2 B2'
_cell_length_a 4.536
_cell_length_b 3.248
_cell_length_c 10.944
_cell_angle_alpha 90.00
_cell_angle_beta 90.00
_cell_angle_gamma 90.00
_symmetry_space_group_name_H-M 'P 1'
_symmetry_Int_Tables_number 1
loop_
_symmetry_equiv_pos_as_xyz
'x,y,z'
loop_
_atom_site_label
_atom_site_type_symbol
_atom_site_fract_x
_atom_site_fract_y
_atom_site_fract_z
Sc1 Sc 0.000 0.000 0.170
Sc2 Sc 0.000 0.500 0.670
Sc3 Sc 0.500 0.000 0.925
Sc4 Sc 0.500 0.500 0.425
Re1 Re 0.500 0.000 0.643
Re2 Re 0.500 0.500 0.143
B1 B 0.500 0.000 0.262
B2 B 0.500 0.500 0.762
```



Entry from Alexandria: a geometry-optimized ZrTl2Co structure (PBE-GGA).

## Properties
Crystal system   tetragonal
Energy of formation   0.11 eV per atom

Cell and atoms, written as CIF:
```
data_ZrTl2Co
_chemical_formula_sum 'Zr1 Tl2 Co1'
_cell_length_a 3.252
_cell_length_b 3.252
_cell_length_c 8.304
_cell_angle_alpha 90.00
_cell_angle_beta 90.00
_cell_angle_gamma 90.00
_symmetry_space_group_name_H-M 'P 1'
_symmetry_Int_Tables_number 1
loop_
_symmetry_equiv_pos_as_xyz
'x,y,z'
loop_
_atom_site_label
_atom_site_type_symbol
_atom_site_fract_x
_atom_site_fract_y
_atom_site_fract_z
Co1 Co 0.500 0.500 0.714
Tl1 Tl 0.000 0.000 0.949
Tl2 Tl 0.500 0.500 0.272
Zr1 Zr 0.000 0.000 0.565
```



Entry from Alexandria: a geometry-optimized Na3Hf2MnS6 structure (PBE-GGA).

## Properties
Formation energy (no corrections)   -1227 meV per atom
Crystal system   monoclinic

Cell and atoms, written as CIF:
```
data_Na3Hf2MnS6
_chemical_formula_sum 'Na3 Hf2 Mn1 S6'
_cell_length_a 6.191
_cell_length_b 6.191
_cell_length_c 7.079
_cell_angle_alpha 98.40
_cell_angle_beta 98.40
_cell_angle_gamma 120.09
_symmetry_space_group_name_H-M 'P 1'
_symmetry_Int_Tables_number 1
loop_
_symmetry_equiv_pos_as_xyz
'x,y,z'
loop_
_atom_site_label
_atom_site_type_symbol
_atom_site_fract_x
_atom_site_fract_y
_atom_site_fract_z
Na1 Na 0.171 0.829 0.500
Na2 Na 0.829 0.171 0.500
Na3 Na 0.500 0.500 0.500
Hf1 Hf 0.334 0.666 0.000
Hf2 Hf 0.666 0.334 0.000
Mn1 Mn 0.000 0.000 0.000
S1 S 0.930 0.612 0.788
S2 S 0.754 0.754 0.213
S3 S 0.070 0.388 0.212
S4 S 0.612 0.930 0.788
S5 S 0.246 0.246 0.787
S6 S 0.388 0.070 0.212
```



Entry from Alexandria: a geometry-optimized PuTh2Fe2N6 structure (PBE-GGA).

## Properties
Formation energy (no corrections)   -683 meV per atom
Crystal system   trigonal

Cell and atoms, written as CIF:
```
data_PuTh2Fe2N6
_chemical_formula_sum 'Pu1 Th2 Fe2 N6'
_cell_length_a 5.624
_cell_length_b 5.624
_cell_length_c 6.515
_cell_angle_alpha 64.43
_cell_angle_beta 64.43
_cell_angle_gamma 60.00
_symmetry_space_group_name_H-M 'P 1'
_symmetry_Int_Tables_number 1
loop_
_symmetry_equiv_pos_as_xyz
'x,y,z'
loop_
_atom_site_label
_atom_site_type_symbol
_atom_site_fract_x
_atom_site_fract_y
_atom_site_fract_z
Pu1 Pu 0.000 0.000 0.000
Th1 Th 0.788 0.788 0.636
Th2 Th 0.212 0.212 0.364
Fe1 Fe 0.405 0.405 0.786
Fe2 Fe 0.595 0.595 0.214
N1 N 0.746 0.746 0.286
N2 N 0.221 0.746 0.286
N3 N 0.746 0.221 0.286
N4 N 0.254 0.779 0.714
N5 N 0.779 0.254 0.714
N6 N 0.254 0.254 0.714
```



Entry from Alexandria: a geometry-optimized LiTi2Mo2 structure (PBE-GGA).

## Properties
Crystal system   tetragonal
Energy of formation   0.33 eV per atom

Cell and atoms, written as CIF:
```
data_LiTi2Mo2
_chemical_formula_sum 'Li2 Ti4 Mo4'
_cell_length_a 7.054
_cell_length_b 7.054
_cell_length_c 3.334
_cell_angle_alpha 90.00
_cell_angle_beta 90.00
_cell_angle_gamma 90.00
_symmetry_space_group_name_H-M 'P 1'
_symmetry_Int_Tables_number 1
loop_
_symmetry_equiv_pos_as_xyz
'x,y,z'
loop_
_atom_site_label
_atom_site_type_symbol
_atom_site_fract_x
_atom_site_fract_y
_atom_site_fract_z
Mo1 Mo 0.353 0.853 0.000
Mo2 Mo 0.853 0.647 0.000
Mo3 Mo 0.647 0.147 0.000
Mo4 Mo 0.147 0.353 0.000
Li1 Li 0.000 0.000 0.000
Li2 Li 0.500 0.500 0.000
Ti1 Ti 0.149 0.649 0.500
Ti2 Ti 0.649 0.851 0.500
Ti3 Ti 0.851 0.351 0.500
Ti4 Ti 0.351 0.149 0.500
```



Entry from Alexandria: a geometry-optimized ScCr2In structure (PBE-GGA).

## Properties
Crystal system   orthorhombic
Energy of formation   0.59 eV per atom

Cell and atoms, written as CIF:
```
data_ScCr2In
_chemical_formula_sum 'Sc1 Cr2 In1'
_cell_length_a 2.775
_cell_length_b 2.775
_cell_length_c 8.748
_cell_angle_alpha 90.00
_cell_angle_beta 90.00
_cell_angle_gamma 99.48
_symmetry_space_group_name_H-M 'P 1'
_symmetry_Int_Tables_number 1
loop_
_symmetry_equiv_pos_as_xyz
'x,y,z'
loop_
_atom_site_label
_atom_site_type_symbol
_atom_site_fract_x
_atom_site_fract_y
_atom_site_fract_z
Cr1 Cr 0.000 0.000 0.003
Cr2 Cr 0.000 0.000 0.497
In1 In 0.500 0.500 0.250
Sc1 Sc 0.500 0.500 0.750
```



Entry from Alexandria: a geometry-optimized KLa2TmSe4 structure (PBE-GGA).

## Properties
Formation energy (no corrections)   -1768 meV per atom
Crystal system   monoclinic

Cell and atoms, written as CIF:
```
data_KLa2TmSe4
_chemical_formula_sum 'K1 La2 Tm1 Se4'
_cell_length_a 4.250
_cell_length_b 7.405
_cell_length_c 7.517
_cell_angle_alpha 71.19
_cell_angle_beta 90.00
_cell_angle_gamma 90.00
_symmetry_space_group_name_H-M 'P 1'
_symmetry_Int_Tables_number 1
loop_
_symmetry_equiv_pos_as_xyz
'x,y,z'
loop_
_atom_site_label
_atom_site_type_symbol
_atom_site_fract_x
_atom_site_fract_y
_atom_site_fract_z
K1 K 0.500 0.500 0.000
La1 La 0.000 0.000 0.000
La2 La 0.500 0.000 0.500
Tm1 Tm 0.000 0.500 0.500
Se1 Se 0.000 0.750 0.732
Se2 Se 0.000 0.250 0.268
Se3 Se 0.500 0.736 0.269
Se4 Se 0.500 0.264 0.731
```



Entry from Alexandria: a geometry-optimized PrHoPd4 structure (PBE-GGA).

## Properties
ΔE to the lowest computed polymorph   0 meV per atom
Crystal system   orthorhombic
Energy of formation   -0.85 eV per atom

Cell and atoms, written as CIF:
```
data_PrHoPd4
_chemical_formula_sum 'Pr2 Ho2 Pd8'
_cell_length_a 4.235
_cell_length_b 5.790
_cell_length_c 10.143
_cell_angle_alpha 90.00
_cell_angle_beta 102.05
_cell_angle_gamma 90.00
_symmetry_space_group_name_H-M 'P 1'
_symmetry_Int_Tables_number 1
loop_
_symmetry_equiv_pos_as_xyz
'x,y,z'
loop_
_atom_site_label
_atom_site_type_symbol
_atom_site_fract_x
_atom_site_fract_y
_atom_site_fract_z
Pr1 Pr 0.722 0.250 0.444
Pr2 Pr 0.278 0.750 0.556
Ho1 Ho 0.425 0.250 0.850
Ho2 Ho 0.575 0.750 0.150
Pd1 Pd 0.000 0.000 0.000
Pd2 Pd 0.000 0.500 0.000
Pd3 Pd 0.144 0.007 0.287
Pd4 Pd 0.856 0.507 0.713
Pd5 Pd 0.144 0.493 0.287
Pd6 Pd 0.856 0.993 0.713
Pd7 Pd 0.571 0.250 0.142
Pd8 Pd 0.429 0.750 0.858
```



Energy readings, ordered: -3.186 -3.820 -4.303 -7.943 -4.991 -6.044 -9.415 -7.542 -6.491 -5.439 -5.868 eV/atom